Record 1
Rb2TiIrBr6 | Alexandria via LeMat-Bulk | PBE | relaxed; energy = -3.741 eV/atom; ΔE_f (raw) = -0.868 eV/atom
1.0
7.5151 0.0000 0.0000
0.0000 7.5151 0.0000
3.7576 3.7576 5.3236
Ti Br Rb Ir
1 6 2 1
Direct
0.5000 0.5000 0.0000 Ti
0.2502 0.7498 0.0000 Br
0.2502 0.2502 0.0000 Br
0.7498 0.2502 0.0000 Br
0.7498 0.7498 0.0000 Br
0.7484 0.7484 0.5031 Br
0.2516 0.2516 0.4969 Br
0.7500 0.2500 0.5000 Rb
0.2500 0.7500 0.5000 Rb
0.0000 0.0000 0.0000 Ir


Record 2
Rb2TlIrBr6 | Alexandria via LeMat-Bulk | PBE | relaxed; energy = -3.268 eV/atom; ΔE_f (raw) = -0.948 eV/atom
1.0
-0.6710 7.8554 -1.0876
-5.1423 -1.2619 -5.9418
-7.1744 3.4394 0.1485
Br Rb Ir Tl
6 2 1 1
Direct
0.2764 0.7236 0.0000 Br
0.7236 0.7236 0.0000 Br
0.7237 0.7237 0.5526 Br
0.2763 0.2763 0.4474 Br
0.2764 0.2764 0.0000 Br
0.7236 0.2764 0.0000 Br
0.2500 0.7500 0.5000 Rb
0.7500 0.2500 0.5000 Rb
0.5000 0.5000 0.0000 Ir
0.0000 0.0000 0.0000 Tl


Record 3
Rb2TlIrBr6 | Alexandria via LeMat-Bulk | PBE | relaxed; energy = -3.269 eV/atom; ΔE_f (raw) = -0.949 eV/atom
1.0
-6.5368 0.5551 -4.0083
-3.5297 -5.7612 4.9585
-3.5500 8.1265 6.9149
Rb Br Tl Ir
4 12 2 2
Direct
0.0000 0.2107 0.7274 Rb
0.5000 0.7893 0.7726 Rb
0.0000 0.2107 0.2726 Rb
0.5000 0.7893 0.2274 Rb
0.7302 0.0029 0.5000 Br
0.2330 0.5708 0.0000 Br
0.5000 0.2157 0.2759 Br
0.7698 0.9971 0.0000 Br
0.7670 0.5708 0.0000 Br
0.0000 0.7843 0.2241 Br
0.0000 0.7843 0.7759 Br
0.2670 0.4292 0.5000 Br
0.5000 0.2157 0.7241 Br
0.2302 0.9971 0.0000 Br
0.7330 0.4292 0.5000 Br
0.2698 0.0029 0.5000 Br
0.0000 0.7091 0.5000 Tl
0.5000 0.2909 0.0000 Tl
0.5000 0.2174 0.5000 Ir
0.0000 0.7826 0.0000 Ir


Record 4
Rb2YIrBr6 | Alexandria via LeMat-Bulk | PBE | relaxed; energy = -3.870 eV/atom; ΔE_f (raw) = -1.140 eV/atom
1.0
-1.0936 6.3833 -4.3247
-2.6139 -4.4163 -5.8574
-6.9906 1.4290 -3.1346
Br Ir Y Rb
6 1 1 2
Direct
0.2454 0.7546 0.0000 Br
0.2458 0.2458 0.5084 Br
0.7546 0.7546 0.0000 Br
0.7546 0.2454 0.0000 Br
0.2454 0.2454 0.0000 Br
0.7542 0.7542 0.4916 Br
0.0000 0.0000 0.0000 Ir
0.5000 0.5000 0.0000 Y
0.7500 0.2500 0.5000 Rb
0.2500 0.7500 0.5000 Rb


Record 5
Rb2ZrIrBr6 | Alexandria via LeMat-Bulk | PBE | relaxed; energy = -3.834 eV/atom; ΔE_f (raw) = -0.896 eV/atom
1.0
7.7711 0.0000 0.0000
0.0000 7.7711 0.0000
3.8856 3.8856 5.2432
Br Rb Ir Zr
6 2 1 1
Direct
0.7473 0.7473 0.0000 Br
0.2527 0.2527 0.0000 Br
0.7473 0.2527 0.0000 Br
0.2527 0.7473 0.0000 Br
0.7554 0.7554 0.4891 Br
0.2446 0.2446 0.5109 Br
0.7500 0.2500 0.5000 Rb
0.2500 0.7500 0.5000 Rb
0.0000 0.0000 0.0000 Ir
0.5000 0.5000 0.0000 Zr


Record 6
ReIr2Br | Alexandria via LeMat-Bulk | PBE | relaxed; energy = -7.056 eV/atom; ΔE_f (raw) = 0.904 eV/atom
1.0
5.7705 0.0139 -0.0069
3.2120 4.7939 0.0069
-3.8848 -3.5369 2.3869
Ir Re Br
2 1 1
Direct
0.5260 0.5260 0.0000 Ir
0.9740 0.9740 0.0000 Ir
0.7500 0.2500 0.5000 Re
0.2500 0.7500 0.5000 Br


Record 7
ReIr2Br | Alexandria via LeMat-Bulk | PBE | relaxed; energy = -6.872 eV/atom; ΔE_f (raw) = 1.089 eV/atom
1.0
-0.7879 -0.0340 2.7058
-2.3052 -4.0903 -0.7227
3.9169 -2.4037 1.1103
Ir Br Re
2 1 1
Direct
0.5000 0.5000 0.0000 Ir
0.0000 0.0000 0.0000 Ir
0.0000 0.5000 0.5000 Br
0.5000 0.0000 0.5000 Re


Record 8
ReIr3Br | Alexandria via LeMat-Bulk | PBE | relaxed; energy = -6.286 eV/atom; ΔE_f (raw) = 1.855 eV/atom
1.0
4.7879 0.0000 0.0000
0.0000 4.7879 0.0000
0.0000 0.0000 4.7879
Ir Re Br
3 1 1
Direct
0.0000 0.5000 0.0000 Ir
0.0000 0.0000 0.5000 Ir
0.5000 0.0000 0.0000 Ir
0.0000 0.0000 0.0000 Re
0.5000 0.5000 0.5000 Br


Record 9
ReIr2Br | Alexandria via LeMat-Bulk | PBE | relaxed; energy = -7.342 eV/atom; ΔE_f (raw) = 0.619 eV/atom
1.0
-0.0172 -4.6047 -0.6232
2.2921 -3.9250 0.9657
-3.3558 -1.4713 5.5068
Ir Br Re
2 1 1
Direct
0.0629 0.0629 0.9055 Ir
0.7935 0.7935 0.7241 Ir
0.1219 0.1219 0.2770 Br
0.5217 0.5217 0.5934 Re


Record 10
ReIr2Br | Alexandria via LeMat-Bulk | PBE | relaxed; energy = -6.857 eV/atom; ΔE_f (raw) = 1.104 eV/atom
1.0
4.5772 -0.0189 0.0000
0.5847 4.5397 0.0000
-2.5810 -2.2604 3.0299
Ir Br Re
2 1 1
Direct
0.0000 0.0000 0.0000 Ir
0.2500 0.7500 0.5000 Ir
0.7500 0.2500 0.5000 Br
0.5000 0.5000 0.0000 Re


Record 11
ReIr2Br | Alexandria via LeMat-Bulk | PBE | relaxed; energy = -7.455 eV/atom; ΔE_f (raw) = 0.506 eV/atom
1.0
3.6074 0.0000 0.0000
0.0000 2.8104 -0.0008
0.0000 -0.0009 7.0778
Br Re Ir
1 1 2
Direct
0.5000 0.7500 0.7500 Br
0.5000 0.2500 0.2500 Re
0.0000 0.7498 0.0606 Ir
0.0000 0.7502 0.4394 Ir


Record 12
ReIr2Br | Alexandria via LeMat-Bulk | PBE | relaxed; energy = -7.119 eV/atom; ΔE_f (raw) = 0.842 eV/atom
1.0
6.2692 0.0214 -0.0066
4.1522 4.6971 0.0066
-4.7843 -3.3009 2.3490
Re Br Ir
1 1 2
Direct
0.5313 0.5313 0.0000 Re
0.3005 0.8005 0.5000 Br
0.9524 0.9524 0.0000 Ir
0.7158 0.2158 0.5000 Ir